# 1
The following is a DFT calculation (GGA-PBEsol) of MnCuTc after structural relaxation.

Structure (POSCAR):
```
MnCuTc
1.0
-1.509 1.509 4.009
1.509 -1.509 4.009
1.509 1.509 -4.009
Mn Cu Tc
1 1 1
Direct
0.000 0.000 0.000
0.664 0.664 0.000
0.344 0.344 0.000
```

Results
Density of states at the Fermi level, states/eV/cell: 2.0
Magnetic moment, μB/cell: 1.07
Symmetry: No. 107
Energy of formation from the pure elements, eV per atom: 0.22
Excess energy over the best structure of this formula in the dataset, kJ per mole of atoms: 0.0

# 2
The following is a DFT calculation (GGA-PBEsol) of AsPbSe2Br after structural relaxation.

Structure (POSCAR):
```
AsPbSe2Br
1.0
5.100 0.000 0.000
0.000 5.100 0.000
0.000 0.000 5.097
As Pb Se Br
1 1 2 1
Direct
0.000 0.000 0.000
0.500 0.500 0.000
0.000 0.500 0.500
0.500 0.000 0.500
0.000 0.000 0.500
```

Results
Density of states at the Fermi level, states/eV/cell: 4.9
Magnetic moment, μB/cell: 0.00
Symmetry: No. 123
E_form (uncorrected), eV per atom: 0.6176

# 3
The following is a DFT calculation (GGA-PBEsol) of Pm2SiAg after structural relaxation.

Structure (POSCAR):
```
Pm2SiAg
1.0
0.000 3.603 3.603
3.603 0.000 3.603
3.603 3.603 0.000
Pm Si Ag
2 1 1
Direct
0.250 0.250 0.250
0.750 0.750 0.750
0.000 0.000 0.000
0.500 0.500 0.500
```

Results
Density of states at the Fermi level, states/eV/cell: 4.0
Magnetic moment, μB/cell: 0.00
Symmetry: No. 225
E_form (uncorrected), eV per atom: -0.4516

# 4
The following is a DFT calculation (GGA-PBEsol) of BaZn after structural relaxation.

Structure (POSCAR):
```
BaZn
1.0
10.779 0.000 0.000
0.000 10.007 0.000
0.000 0.000 7.541
Ba Zn
12 12
Direct
0.111 0.250 0.000
0.111 0.250 0.500
0.223 0.629 0.250
0.223 0.871 0.750
0.377 0.004 0.250
0.377 0.496 0.750
0.623 0.504 0.250
0.623 0.996 0.750
0.777 0.129 0.250
0.777 0.371 0.750
0.889 0.750 0.000
0.889 0.750 0.500
0.066 0.541 0.750
0.066 0.959 0.250
0.370 0.170 0.750
0.370 0.330 0.250
0.485 0.750 0.000
0.485 0.750 0.500
0.515 0.250 0.000
0.515 0.250 0.500
0.630 0.670 0.750
0.630 0.830 0.250
0.934 0.041 0.750
0.934 0.459 0.250
```

Results
Density of states at the Fermi level, states/eV/cell: 27.6
Magnetic moment, μB/cell: 0.00
Symmetry: No. 57
Energy of formation from the pure elements, eV per atom: -0.06

# 5
The following is a DFT calculation (GGA-PBEsol) of BaTl2As2 after structural relaxation.

Structure (POSCAR):
```
BaTl2As2
1.0
-2.346 2.346 6.580
2.346 -2.346 6.580
2.346 2.346 -6.580
Ba Tl As
1 2 2
Direct
0.000 0.000 0.000
0.250 0.750 0.500
0.750 0.250 0.500
0.406 0.406 0.000
0.594 0.594 0.000
```

Results
Density of states at the Fermi level, states/eV/cell: 1.2
Magnetic moment, μB/cell: 0.00
Symmetry: No. 139
Energy of formation from the pure elements, eV per atom: -0.45

# 6
The following is a DFT calculation (GGA-PBEsol) of ReSiSb2 after structural relaxation.

Structure (POSCAR):
```
ReSiSb2
1.0
1.609 -2.568 0.000
1.609 2.568 0.000
0.000 0.000 9.640
Re Si Sb
1 1 2
Direct
0.000 0.000 0.000
0.000 0.000 0.500
0.500 0.500 0.229
0.500 0.500 0.771
```

Results
Density of states at the Fermi level, states/eV/cell: 3.5
Magnetic moment, μB/cell: 0.00
Symmetry: No. 65
E_form (uncorrected), eV per atom: 0.7676

# 7
The following is a DFT calculation (GGA-PBEsol) of Na2ZnPt after structural relaxation.

Structure (POSCAR):
```
Na2ZnPt
1.0
-1.868 1.868 10.307
1.868 -1.868 10.307
1.868 1.868 -10.307
Na Zn Pt
4 2 2
Direct
0.121 0.625 0.996
0.375 0.371 0.496
0.629 0.125 0.004
0.875 0.879 0.504
0.250 0.750 0.500
0.500 0.500 0.000
0.000 0.000 0.000
0.750 0.250 0.500
```

Results
Density of states at the Fermi level, states/eV/cell: 2.2
Magnetic moment, μB/cell: 0.00
Symmetry: No. 122
Energy of formation from the pure elements, eV per atom: 0.10

# 8
The following is a DFT calculation (GGA-PBEsol) of CdCu2Sn3S8 after structural relaxation.

Structure (POSCAR):
```
CdCu2Sn3S8
1.0
3.700 2.136 6.025
-3.700 2.136 6.025
0.000 -4.272 6.025
Cd Cu Sn S
1 2 3 8
Direct
0.000 0.000 0.000
0.387 0.387 0.387
0.613 0.613 0.613
0.000 0.000 0.500
0.000 0.500 0.000
0.500 0.000 0.000
0.241 0.749 0.749
0.251 0.251 0.759
0.251 0.759 0.251
0.252 0.252 0.252
0.748 0.748 0.748
0.749 0.241 0.749
0.749 0.749 0.241
0.759 0.251 0.251
```

Results
Density of states at the Fermi level, states/eV/cell: 2.0
Magnetic moment, μB/cell: 0.00
Symmetry: No. 166
E_form (uncorrected), eV per atom: -0.4199